1.
Compound: LiTaN2O
Source: Alexandria via LeMat-Bulk
Functional: PBE-GGA
Structure: relaxed

Unit cell a=3.5281 b=3.5281 c=3.3816 alpha=90.00 beta=90.00 gamma=90.00
Closest atoms and distances in Å follow each position.
Positions (direct):
N 0.0000 0.5000 0.0000  2 Li 1.76
N 0.5000 0.0000 0.0000  2 Li 1.76
Li 0.0000 0.0000 0.0000  2 O 1.69, 4 N 1.76
O 0.0000 0.0000 0.5000  2 Li 1.69
Ta 0.5000 0.5000 0.5000  8 N 2.44, 4 O 2.49

Output
ΔE_f (raw)   0.3821 eV/atom
Space-group type   No. 123

=====

2.
Compound: ZnRuW2
Source: Alexandria via LeMat-Bulk
Functional: PBE-GGA
Structure: relaxed

Unit cell a=9.2517 b=9.2517 c=9.2517 alpha=17.32 beta=17.32 gamma=17.32
Closest atoms and distances in Å follow each position.
Positions (direct):
Ru 0.7500 0.7500 0.7500  6 W 2.75, 6 Ru 2.79
W 0.0018 0.0018 0.0018  3 Ru 2.75, 6 W 2.79, 3 Zn 2.83
W 0.4982 0.4982 0.4982  3 Ru 2.75, 6 W 2.79, 3 Zn 2.83
Zn 0.2500 0.2500 0.2500  6 Zn 2.79, 6 W 2.83

Output
E   -35.59 eV/cell
Space-group type   No. 166

=====

3.
Compound: TlNi4Br
Source: Alexandria via LeMat-Bulk
Functional: PBE-GGA
Structure: relaxed

Unit cell a=5.0614 b=5.0614 c=5.0614 alpha=60.00 beta=60.00 gamma=60.00
Closest atoms and distances in Å follow each position.
Positions (direct):
Tl 0.7500 0.7500 0.7500  12 Ni 2.97, 4 Br 3.10
Ni 0.8730 0.3757 0.3757  6 Ni 2.52-2.54
Ni 0.3757 0.3757 0.8730  6 Ni 2.52-2.54
Ni 0.3757 0.8730 0.3757  6 Ni 2.52-2.54
Ni 0.3757 0.3757 0.3757  6 Ni 2.52-2.54
Br 0.0000 0.0000 0.0000  12 Ni 2.97, 4 Tl 3.10

Output
ΔE_f (raw)   0.5327 eV/atom
Space-group type   No. 216

=====

4.
Compound: UFe3Ge3
Source: Alexandria via LeMat-Bulk
Functional: PBE-GGA
Structure: relaxed

Unit cell a=4.1237 b=7.8812 c=7.8812 alpha=120.00 beta=90.00 gamma=90.00
Closest atoms and distances in Å follow each position.
Positions (direct):
U 0.2500 0.6667 0.3333  9 Ge 2.92-3.05, 3 Fe 3.18
U 0.7500 0.3333 0.6667  9 Ge 2.92-3.05, 3 Fe 3.18
Fe 0.7500 0.1612 0.9561  4 Ge 2.46-2.49, 6 Fe 2.53-2.55
Fe 0.7500 0.7948 0.8388  4 Ge 2.46-2.49, 6 Fe 2.53-2.55
Fe 0.2500 0.9561 0.7948  4 Ge 2.46-2.49, 6 Fe 2.53-2.55
Fe 0.7500 0.0439 0.2052  4 Ge 2.46-2.49, 6 Fe 2.53-2.55
Fe 0.2500 0.2052 0.1612  4 Ge 2.46-2.49, 6 Fe 2.53-2.55
Fe 0.2500 0.8388 0.0439  4 Ge 2.46-2.49, 6 Fe 2.53-2.55
Ge 0.7500 0.3966 0.3157  4 Fe 2.46-2.49
Ge 0.7500 0.9191 0.6034  4 Fe 2.46-2.49
Ge 0.2500 0.3157 0.9191  4 Fe 2.46-2.49
Ge 0.7500 0.6843 0.0809  4 Fe 2.46-2.49
Ge 0.2500 0.0809 0.3966  4 Fe 2.46-2.49
Ge 0.2500 0.6034 0.6843  4 Fe 2.46-2.49

Output
E   -102.10 eV/cell
Space-group type   No. 176

=====

5.
Compound: PmSm4Y4
Source: Alexandria via LeMat-Bulk
Functional: PBE-GGA
Structure: relaxed

Unit cell a=5.0897 b=8.0644 c=8.0644 alpha=84.28 beta=71.60 gamma=71.60
Closest atoms and distances in Å follow each position.
Positions (direct):
Pm 0.0000 0.0000 0.0000  8 Y 3.60, 4 Sm 3.61
Sm 0.6668 0.3334 0.3331  6 Y 3.60-3.61, 5 Sm 3.60-3.61, 1 Pm 3.61
Sm 0.3332 0.6666 0.6669  6 Y 3.60-3.61, 5 Sm 3.60-3.61, 1 Pm 3.61
Sm 0.9999 0.6669 0.3334  6 Y 3.60-3.61, 5 Sm 3.60-3.61, 1 Pm 3.61
Sm 0.0001 0.3331 0.6666  6 Y 3.60-3.61, 5 Sm 3.60-3.61, 1 Pm 3.61
Y 0.6667 0.6667 0.9998  6 Sm 3.60-3.61, 2 Pm 3.60, 4 Y 3.60-3.61
Y 0.3333 0.3333 0.0002  6 Sm 3.60-3.61, 2 Pm 3.60, 4 Y 3.60-3.61
Y 0.6665 0.0002 0.6667  6 Sm 3.60-3.61, 2 Pm 3.60, 4 Y 3.60-3.61
Y 0.3335 0.9998 0.3333  6 Sm 3.60-3.61, 2 Pm 3.60, 4 Y 3.60-3.61

Output
E   -49.34 eV/cell
Space-group type   No. 139

=====

6.
Compound: CePrIr2
Source: Alexandria via LeMat-Bulk
Functional: PBE-GGA
Structure: relaxed

Unit cell a=5.0024 b=5.0024 c=5.0024 alpha=60.00 beta=60.00 gamma=60.00
Closest atoms and distances in Å follow each position.
Positions (direct):
Pr 0.5000 0.5000 0.5000  8 Ir 3.06
Ir 0.2500 0.2500 0.2500  4 Ce 3.06, 4 Pr 3.06
Ir 0.7500 0.7500 0.7500  4 Pr 3.06, 4 Ce 3.06
Ce 0.0000 0.0000 0.0000  8 Ir 3.06

Output
E   -30.71 eV/cell
Space-group type   No. 225

=====

7.
Compound: Ce3Y2ErSe6
Source: Alexandria via LeMat-Bulk
Functional: PBE-GGA
Structure: relaxed

Unit cell a=7.1139 b=7.1139 c=7.2590 alpha=99.40 beta=99.40 gamma=120.05
Closest atoms and distances in Å follow each position.
Positions (direct):
Ce 0.1680 0.8320 0.5000  6 Se 2.97-2.98
Ce 0.8320 0.1680 0.5000  6 Se 2.97-2.98
Ce 0.5000 0.5000 0.5000  6 Se 2.97-2.99
Y 0.3335 0.6665 0.0000  6 Se 2.88-2.89
Y 0.6665 0.3335 0.0000  6 Se 2.88-2.89
Er 0.0000 0.0000 0.0000  6 Se 2.86
Se 0.9212 0.5905 0.7631  1 Er 2.86, 2 Y 2.88, 3 Ce 2.97-2.98
Se 0.7490 0.7490 0.2384  1 Er 2.86, 2 Y 2.89, 3 Ce 2.98-2.99
Se 0.0788 0.4095 0.2369  1 Er 2.86, 2 Y 2.88, 3 Ce 2.97-2.98
Se 0.5905 0.9212 0.7631  1 Er 2.86, 2 Y 2.88, 3 Ce 2.97-2.98
Se 0.2510 0.2510 0.7616  1 Er 2.86, 2 Y 2.89, 3 Ce 2.98-2.99
Se 0.4095 0.0788 0.2369  1 Er 2.86, 2 Y 2.88, 3 Ce 2.97-2.98

Output
ΔE_f (raw)   -1.7956 eV/atom
Space-group type   No. 12

=====

8.
Compound: Ce6GaIr2
Source: Alexandria via LeMat-Bulk
Functional: PBE-GGA
Structure: relaxed

Unit cell a=6.3171 b=7.5684 c=9.5466 alpha=90.00 beta=87.94 gamma=90.00
Closest atoms and distances in Å follow each position.
Positions (direct):
Ce 0.8549 0.9229 0.2213  1 Ir 2.78, 1 Ga 2.90
Ce 0.8623 0.6349 0.5431  1 Ce 2.79, 1 Ir 2.91, 1 Ga 2.92
Ce 0.8791 0.6965 0.9212  1 Ir 2.70, 1 Ga 2.90
Ce 0.6209 0.1965 0.5788  1 Ir 2.70, 1 Ga 2.90
Ce 0.6377 0.1349 0.9569  1 Ce 2.79, 1 Ir 2.91, 1 Ga 2.92
Ce 0.6451 0.4229 0.2787  1 Ir 2.78, 1 Ga 2.90
Ce 0.1451 0.0771 0.7787  1 Ir 2.78, 1 Ga 2.90
Ce 0.1377 0.3651 0.4569  1 Ce 2.79, 1 Ir 2.91, 1 Ga 2.92
Ce 0.1209 0.3035 0.0788  1 Ir 2.70, 1 Ga 2.90
Ce 0.3791 0.8035 0.4212  1 Ir 2.70, 1 Ga 2.90
Ce 0.3623 0.8651 0.0431  1 Ce 2.79, 1 Ir 2.91, 1 Ga 2.92
Ce 0.3549 0.5771 0.7213  1 Ir 2.78, 1 Ga 2.90
Ga 0.5000 0.5000 0.0000  6 Ce 2.90-2.92
Ga 0.0000 0.0000 0.5000  6 Ce 2.90-2.92
Ir 0.9196 0.3921 0.7747  3 Ce 2.70-2.91
Ir 0.5804 0.8921 0.7253  3 Ce 2.70-2.91
Ir 0.4196 0.1079 0.2747  3 Ce 2.70-2.91
Ir 0.0804 0.6079 0.2253  3 Ce 2.70-2.91

Output
E   -118.60 eV/cell
Space-group type   No. 14

=====

9.
Compound: Sm6Co2Os
Source: Alexandria via LeMat-Bulk
Functional: PBE-GGA
Structure: relaxed

Unit cell a=8.3226 b=8.3226 c=8.3227 alpha=108.45 beta=109.65 gamma=110.32
Closest atoms and distances in Å follow each position.
Positions (direct):
Sm 0.5639 0.7391 0.8248  3 Co 2.91-3.03, 1 Os 3.00
Sm 0.4361 0.2609 0.1752  3 Co 2.91-3.03, 1 Os 3.00
Sm 0.0858 0.2609 0.8248  3 Co 2.91-3.03, 1 Os 3.00
Sm 0.9142 0.7391 0.1752  3 Co 2.91-3.03, 1 Os 3.00
Sm 0.8169 0.7396 0.5565  1 Co 2.91, 2 Os 2.92-3.08
Sm 0.1831 0.2604 0.4435  1 Co 2.91, 2 Os 2.92-3.08
Sm 0.1831 0.7396 0.9227  1 Co 2.91, 2 Os 2.92-3.08
Sm 0.8169 0.2604 0.0773  1 Co 2.91, 2 Os 2.92-3.08
Sm 0.6856 0.3567 0.6711  3 Co 2.75-2.91
Sm 0.3144 0.6433 0.3289  3 Co 2.75-2.91
Sm 0.3144 0.9856 0.6711  3 Co 2.75-2.91
Sm 0.6856 0.0144 0.3289  3 Co 2.75-2.91
Co 0.5000 0.3880 0.8880  1 Co 2.18
Co 0.5000 0.6120 0.1120  1 Co 2.18
Co 0.6673 0.0000 0.6673  8 Sm 2.91, 1 Os 3.19, 1 Co 3.21
Co 0.3327 0.0000 0.3327  8 Sm 2.91, 1 Os 3.19, 1 Co 3.21
Os 0.0000 0.5000 0.5000  4 Sm 2.92
Os 0.0000 0.0000 0.0000  8 Sm 3.00-3.08, 2 Co 3.19

Output
E   -108.97 eV/cell
Space-group type   No. 71

=====

10.
Compound: Ac6P2PdSe3
Source: Alexandria via LeMat-Bulk
Functional: PBE-GGA
Structure: relaxed

Unit cell a=4.4213 b=9.0323 c=10.0055 alpha=103.42 beta=102.76 gamma=90.00
Closest atoms and distances in Å follow each position.
Positions (direct):
Ac 0.3345 0.9051 0.6689  2 P 3.09, 1 Pd 3.14, 3 Se 3.17-3.25
Ac 0.6709 0.5742 0.3418  3 P 3.08, 3 Se 3.23-3.24
Ac 0.6655 0.0949 0.3311  2 P 3.09, 1 Pd 3.14, 3 Se 3.17-3.25
Ac 0.0038 0.2446 0.0077  1 P 3.08, 2 Pd 3.11, 3 Se 3.21-3.25
Ac 0.9962 0.7554 0.9923  1 P 3.08, 2 Pd 3.11, 3 Se 3.21-3.25
Ac 0.3291 0.4258 0.6582  3 P 3.08, 3 Se 3.23-3.24
P 0.8336 0.6655 0.6671  6 Ac 3.08-3.09
P 0.1664 0.3345 0.3329  6 Ac 3.08-3.09
Pd 0.5000 0.0000 0.0000  6 Ac 3.11-3.14
Se 0.5000 0.5000 0.0000  6 Ac 3.21-3.24
Se 0.8324 0.1673 0.6648  6 Ac 3.17-3.25
Se 0.1676 0.8327 0.3352  6 Ac 3.17-3.25

Output
ΔE_f (raw)   -1.5770 eV/atom
Space-group type   No. 12

=====

11.
Compound: AcCeRuN3
Source: Alexandria via LeMat-Bulk
Functional: PBE-GGA
Structure: relaxed

Unit cell a=3.5380 b=7.6969 c=7.7549 alpha=101.19 beta=90.00 gamma=90.00
Closest atoms and distances in Å follow each position.
Positions (direct):
Ac 0.7500 0.8200 0.8034  5 N 2.61-2.79
Ac 0.2500 0.1800 0.1966  5 N 2.61-2.79
Ce 0.2500 0.6483 0.1695  5 N 2.29-2.49
Ce 0.7500 0.3517 0.8305  5 N 2.29-2.49
Ru 0.2500 0.0938 0.5837  4 N 2.06-2.12
Ru 0.7500 0.9062 0.4163  4 N 2.06-2.12
N 0.2500 0.8195 0.5243  3 Ru 2.07-2.12
N 0.7500 0.8696 0.1455  1 Ru 2.06
N 0.7500 0.4242 0.1306  3 Ce 2.29-2.45
N 0.7500 0.1805 0.4757  3 Ru 2.07-2.12
N 0.2500 0.5758 0.8694  3 Ce 2.29-2.45
N 0.2500 0.1304 0.8545  1 Ru 2.06

Output
ΔE_f (raw)   -0.7746 eV/atom
Space-group type   No. 11

=====

Number 1: density of states at the Fermi level 2.640 states/eV/f.u.. Number 2: density of states at the Fermi level 3.247 states/eV/f.u.. Number 3: density of states at the Fermi level 13.398 states/eV/f.u.. Number 4: density of states at the Fermi level 9.108 states/eV/f.u.. Number 5: density of states at the Fermi level 13.260 states/eV/f.u.. Number 6: density of states at the Fermi level 4.274 states/eV/f.u.. Number 7: density of states at the Fermi level 19.153 states/eV/f.u.. Number 8: density of states at the Fermi level 23.781 states/eV/f.u.. Number 9: density of states at the Fermi level 8.872 states/eV/f.u.. Number 10: density of states at the Fermi level 6.843 states/eV/f.u.. Number 11: density of states at the Fermi level 2.170 states/eV/f.u..